## Ca2HoTmTe4 (PBE)

Data for a geometry-optimized Ca2HoTmTe4 structure.

abc: 4.376 7.572 7.718
angles: 109.17 90.00 90.00
Atoms (fractional coordinates):
Te  0.500  0.754  0.758
Te  0.000  0.251  0.757
Te  0.000  0.749  0.243
Te  0.500  0.246  0.242
Ca  0.500  0.000  0.500
Ca  0.000  0.500  0.500
Ho  0.500  0.500  0.000
Tm  0.000  0.000  0.000

Computed properties:
* space group: No. 10
* total energy: -36.98 eV for the cell shown
* ρ: 6.4 g/cm3

## CaHo2TmTe4 (PBE)

Data for a geometry-optimized CaHo2TmTe4 structure.

abc: 4.340 7.547 7.574
angles: 109.10 90.00 90.00
Atoms (fractional coordinates):
Ho  0.500  0.000  0.500
Ho  0.000  0.500  0.500
Ca  0.000  0.000  0.000
Te  0.500  0.254  0.252
Te  0.000  0.747  0.249
Te  0.000  0.253  0.751
Te  0.500  0.746  0.748
Tm  0.500  0.500  0.000

Computed properties:
* space group: No. 10
* total energy: -38.73 eV for the cell shown
* ρ: 7.4 g/cm3

## CaHoTm2Te4 (PBE)

Data for a geometry-optimized CaHoTm2Te4 structure.

abc: 4.335 7.555 7.536
angles: 109.16 90.00 90.00
Atoms (fractional coordinates):
Ho  0.500  0.500  0.000
Ca  0.000  0.000  0.000
Te  0.500  0.254  0.256
Te  0.000  0.750  0.254
Te  0.500  0.746  0.744
Te  0.000  0.250  0.746
Tm  0.500  0.000  0.500
Tm  0.000  0.500  0.500

Computed properties:
* space group: No. 10
* total energy: -38.49 eV for the cell shown
* ρ: 7.5 g/cm3